VASP calculation (meta-GGA SCAN) on a crystal of RbGeSe2Br relaxed with PBEsol. Values from VASP.

Cell and atoms, written as Quantum ESPRESSO input:
```
&SYSTEM
  ibrav = 0, nat = 5, ntyp = 4
/
ATOMIC_SPECIES
Ge 72.64 Ge.upf
Se 78.96 Se.upf
Br 79.90 Br.upf
Rb 85.47 Rb.upf
CELL_PARAMETERS angstrom
-3.379 4.720 -0.621
-4.487 -3.157 0.419
0.003 0.720 5.455
ATOMIC_POSITIONS crystal
Ge 0.500 0.500 0.500
Se 0.000 0.000 0.500
Se 0.000 0.500 0.000
Br 0.500 0.000 0.000
Rb 0.000 0.000 0.000
```

Computed properties:
Uncorrected formation energy: 891 meV/atom
DOS at the Fermi energy: 0.30 states/eV per atom
Spin magnetization: 0.0 μB per formula unit
E_tot: -95.0 eV for the cell shown